No. 1
Material: ZnCd2As
Method: DFT, PBE-GGA
State: relaxed

Cell and atoms, written as POSCAR:
```
ZnCd2As
1.0
-0.923 3.362 1.783
-2.769 -0.616 -0.272
0.131 -3.590 6.837
Cd Zn As
2 1 1
Direct
0.000 0.750 0.000
0.500 0.250 0.272
0.000 0.750 0.507
0.500 0.750 0.721
```

## Properties
**Relative energy among the computed polymorphs**: 0.0000 eV/atom
**Final energy**: -7.4 eV for the cell shown
**Density**: 7.04 Mg/m³
**ΔH_f (0 K)**: 84 meV/atom



No. 2
Material: Nd12Er7Th
Method: DFT, PBE-GGA
State: relaxed

Cell and atoms, written as POSCAR:
```
Nd12Er7Th
1.0
6.112 0.000 -1.258
-3.185 9.864 -5.158
0.259 0.000 11.575
Er Nd Th
7 12 1
Direct
0.392 0.246 0.246
0.500 0.000 0.000
0.146 0.754 0.001
0.146 0.999 0.754
0.608 0.754 0.754
0.854 0.001 0.246
0.854 0.246 0.999
0.397 0.001 0.354
0.043 0.646 0.647
0.089 0.588 0.176
0.396 0.353 0.999
0.498 0.412 0.588
0.603 0.999 0.646
0.604 0.647 0.001
0.087 0.176 0.588
0.957 0.354 0.353
0.502 0.588 0.412
0.911 0.412 0.824
0.913 0.824 0.412
0.000 0.000 0.000
```

## Properties
**Relative energy among the computed polymorphs**: 0.0539 eV/atom
**Final energy**: -91.0 eV for the cell shown
**Density**: 7.42 Mg/m³
**ΔH_f (0 K)**: 278 meV/atom



No. 3
Material: CuIrCl4
Method: DFT, PBE-GGA
State: relaxed

Cell and atoms, written as POSCAR:
```
CuIrCl4
1.0
4.388 0.700 3.516
0.530 4.811 2.946
-0.832 -0.004 5.605
Cl Cu Ir
4 1 1
Direct
0.374 0.877 0.374
0.374 0.374 0.877
0.877 0.374 0.374
0.374 0.374 0.374
0.750 0.750 0.750
0.000 0.000 0.000
```

## Properties
**ΔE_f (raw)**: 1.4785 eV/atom
**Relative energy among the computed polymorphs**: 1.9187 eV/atom
**Final energy**: -11.5 eV for the cell shown
**Density**: 5.13 Mg/m³



No. 4
Material: HfScTlAg
Method: DFT, PBE-GGA
State: relaxed

Cell and atoms, written as POSCAR:
```
HfScTlAg
1.0
4.948 0.000 0.000
2.474 4.285 0.000
2.474 1.428 4.040
Sc Tl Ag Hf
1 1 1 1
Direct
0.750 0.750 0.750
0.000 0.000 0.000
0.500 0.500 0.500
0.250 0.250 0.250
```

## Properties
**Final energy**: -21.7 eV for the cell shown
**Density**: 10.39 Mg/m³
**ΔH_f (0 K)**: -55 meV/atom



For the records above, the corresponding D(E_F) values read 1.27, 33.45, 7.47, 2.59 states/eV/cell.